Tb4Dy2TmSc: optimized geometry, GGA-PBE.

Values from the calculation:
Total magnetization ... 0.000 μB/cell
D(E_F) ... 11.46 states/eV per cell
Energy relative to the elements ... 0.03 eV/atom

a b c (Å): 4.9745 4.9745 9.8756
angles (deg): 90.00 90.00 90.00
Atoms (fractional coordinates):
Tb 0.0000 0.5000 0.2461
Tb 0.0000 0.5000 0.7539
Tb 0.5000 0.0000 0.2461
Tb 0.5000 0.0000 0.7539
Dy 0.0000 0.0000 0.0000
Dy 0.5000 0.5000 0.5000
Tm 0.0000 0.0000 0.5000
Sc 0.5000 0.5000 0.0000

***

PmDy4Sc5: optimized geometry, GGA-PBE.

Values from the calculation:
Total magnetization ... 0.000 μB/cell
E above lowest polymorph ... 5 meV per atom
D(E_F) ... 19.94 states/eV per cell
Energy relative to the elements ... 0.25 eV/atom

a b c (Å): 7.8074 7.8074 9.6796
angles (deg): 126.46 126.46 40.29
Atoms (fractional coordinates):
Pm 0.0000 0.0000 0.0000
Dy 0.2456 0.2456 0.8722
Dy 0.2547 0.2547 0.3701
Dy 0.7453 0.7453 0.6299
Dy 0.7544 0.7544 0.1278
Sc 0.0560 0.0560 0.4062
Sc 0.4468 0.4468 0.7860
Sc 0.5000 0.5000 0.5000
Sc 0.5532 0.5532 0.2140
Sc 0.9440 0.9440 0.5938

***

HfRhS2Cl: optimized geometry, GGA-PBE.

Values from the calculation:
Total magnetization ... 1.986 μB/cell
E above lowest polymorph ... 0 meV per atom
D(E_F) ... 5.08 states/eV per cell

a b c (Å): 4.9421 4.9421 4.8655
angles (deg): 90.00 90.00 90.00
Atoms (fractional coordinates):
Hf 0.0000 0.0000 0.0000
Rh 0.5000 0.5000 0.5000
S 0.0000 0.5000 0.0000
S 0.5000 0.0000 0.0000
Cl 0.0000 0.0000 0.5000

***

Be2S: optimized geometry, GGA-PBE.

Values from the calculation:
Total magnetization ... 0.000 μB/cell
E above lowest polymorph ... 2 meV per atom
D(E_F) ... 0.48 states/eV per cell

a b c (Å): 3.3975 3.3975 9.1705
angles (deg): 100.14 100.14 59.47
Atoms (fractional coordinates):
Be 0.1043 0.1043 0.3029
Be 0.1843 0.1843 0.5568
Be 0.8157 0.8157 0.4432
Be 0.8957 0.8957 0.6971
S 0.2548 0.2548 0.7822
S 0.7452 0.7452 0.2178

***

Rb2PaTlSe4: optimized geometry, GGA-PBE.

Values from the calculation:
Total magnetization ... 0.000 μB/cell
Total DFT energy (no corrections) ... -4.658 eV/atom

a b c (Å): 8.0693 4.4012 8.1837
angles (deg): 90.00 107.61 90.00
Atoms (fractional coordinates):
Rb 0.0000 0.0000 0.0000
Rb 0.5000 0.5000 0.0000
Pa 0.0000 0.5000 0.5000
Tl 0.5000 0.0000 0.5000
Se 0.1997 0.0000 0.6924
Se 0.2136 0.5000 0.3018
Se 0.7864 0.5000 0.6982
Se 0.8003 0.0000 0.3076

***

ZrInAs2Se: optimized geometry, GGA-PBE.

Values from the calculation:
Total magnetization ... 0.004 μB/cell
E above lowest polymorph ... 852 meV per atom
D(E_F) ... 4.65 states/eV per cell

a b c (Å): 5.2407 5.2407 5.3590
angles (deg): 90.00 90.00 90.00
Atoms (fractional coordinates):
Zr 0.0000 0.0000 0.0000
In 0.5000 0.5000 0.5000
As 0.0000 0.5000 0.5000
As 0.5000 0.0000 0.5000
Se 0.5000 0.5000 0.0000

***

RbCa2AlF8: optimized geometry, GGA-PBE.

Values from the calculation:
Total magnetization ... 0.000 μB/cell
Total DFT energy (no corrections) ... -5.530 eV/atom
D(E_F) ... 0.00 states/eV per cell

a b c (Å): 5.0651 5.0854 7.3196
angles (deg): 89.68 89.49 87.68
Atoms (fractional coordinates):
Rb 0.0000 0.0000 0.0000
Ca 0.4990 0.4990 0.2587
Ca 0.5010 0.5010 0.7413
Al 0.0000 0.0000 0.5000
F 0.1953 0.8259 0.6740
F 0.1999 0.8308 0.3248
F 0.2496 0.2737 0.5008
F 0.2843 0.4004 0.0014
F 0.7157 0.5996 0.9986
F 0.7504 0.7263 0.4992
F 0.8001 0.1692 0.6752
F 0.8047 0.1741 0.3260

***

La2Sm5Y2: optimized geometry, GGA-PBE.

Values from the calculation:
Total magnetization ... 0.000 μB/cell
E above lowest polymorph ... 0 meV per atom
D(E_F) ... 14.09 states/eV per cell
Energy relative to the elements ... 0.02 eV/atom

a b c (Å): 6.3090 6.3270 8.1337
angles (deg): 74.97 82.46 80.43
Atoms (fractional coordinates):
La 0.0553 0.2788 0.3895
La 0.9447 0.7212 0.6105
Sm 0.1669 0.8339 0.1651
Sm 0.3889 0.9453 0.7254
Sm 0.5000 0.5000 0.5000
Sm 0.6111 0.0547 0.2746
Sm 0.8331 0.1661 0.8349
Y 0.2789 0.3883 0.9455
Y 0.7211 0.6117 0.0545

***

CeGa8Tc4: optimized geometry, GGA-PBE.

Values from the calculation:
Total magnetization ... 0.225 μB/cell
D(E_F) ... 8.44 states/eV per cell
Energy relative to the elements ... -0.27 eV/atom

a b c (Å): 6.9150 6.9150 6.9150
angles (deg): 98.26 98.26 135.46
Atoms (fractional coordinates):
Ce 0.0000 0.0000 0.0000
Ga 0.0000 0.3481 0.3481
Ga 0.0000 0.6519 0.6519
Ga 0.2874 0.5000 0.7874
Ga 0.3481 0.0000 0.3481
Ga 0.5000 0.2874 0.7874
Ga 0.5000 0.7126 0.2126
Ga 0.6519 0.0000 0.6519
Ga 0.7126 0.5000 0.2126
Tc 0.0000 0.0000 0.5000
Tc 0.0000 0.5000 0.0000
Tc 0.5000 0.0000 0.0000
Tc 0.5000 0.5000 0.5000

***

Rb3SmPu2S6: optimized geometry, GGA-PBE.

Values from the calculation:
Total magnetization ... 10.000 μB/cell
Total DFT energy (no corrections) ... -6.730 eV/atom
D(E_F) ... 19.54 states/eV per cell

a b c (Å): 7.1960 7.1960 8.0355
angles (deg): 98.58 98.58 120.00
Atoms (fractional coordinates):
Rb 0.0000 0.0000 0.0000
Rb 0.3340 0.6660 0.0000
Rb 0.6660 0.3340 0.0000
Sm 0.5000 0.5000 0.5000
Pu 0.1667 0.8333 0.5000
Pu 0.8333 0.1667 0.5000
S 0.0987 0.4359 0.3077
S 0.2268 0.2268 0.6922
S 0.4359 0.0987 0.3077
S 0.5641 0.9013 0.6923
S 0.7732 0.7732 0.3078
S 0.9013 0.5641 0.6923

***

VCdPbBr2: optimized geometry, GGA-PBE.

Values from the calculation:
Total magnetization ... 4.379 μB/cell
Total DFT energy (no corrections) ... -2.775 eV/atom
D(E_F) ... 13.22 states/eV per cell

a b c (Å): 5.3955 5.3955 5.9330
angles (deg): 90.00 90.00 90.00
Atoms (fractional coordinates):
V 0.0000 0.0000 0.0000
Cd 0.5000 0.5000 0.5000
Pb 0.5000 0.5000 0.0000
Br 0.0000 0.5000 0.5000
Br 0.5000 0.0000 0.5000

***

Mn2GaN: optimized geometry, GGA-PBE.

Values from the calculation:
Total magnetization ... 5.537 μB/cell
Total DFT energy (no corrections) ... -7.599 eV/atom
D(E_F) ... 5.89 states/eV per cell

a b c (Å): 5.1330 5.1330 6.6811
angles (deg): 97.46 97.46 31.43
Atoms (fractional coordinates):
Mn 0.0000 0.0000 0.0000
Mn 0.2553 0.2553 0.9634
Mn 0.4042 0.4042 0.3187
Mn 0.5720 0.5720 0.6639
Ga 0.1390 0.1390 0.3682
Ga 0.8452 0.8452 0.6379
N 0.6120 0.6120 0.9385
N 0.8517 0.8517 0.1351